A plane-wave DFT calculation with GGA-PBEsol was carried out for La2HfScB after structural relaxation.

Properties
* energy of formation: 1.22 eV per atom

Structure (CIF):
```
data_La2HfScB
_chemical_formula_sum 'La2 Hf1 Sc1 B1'
_space_group_name_H-M_alt 'P 4/m m m'
_space_group_IT_number 123
_space_group_name_Hall '-P 4 2'
_cell_length_a 5.465
_cell_length_b 5.465
_cell_length_c 4.321
_cell_angle_alpha 90.00
_cell_angle_beta 90.00
_cell_angle_gamma 90.00
loop_
_atom_site_label
_atom_site_type_symbol
_atom_site_fract_x
_atom_site_fract_y
_atom_site_fract_z
La1 La 0.000 0.500 0.000
Hf1 Hf 0.000 0.000 0.500
Sc1 Sc 0.500 0.500 0.000
B1 B 0.500 0.500 0.500
```



A plane-wave DFT calculation with GGA-PBEsol was carried out for Sr2LaHfB after structural relaxation.

Properties
* energy of formation: 1.95 eV per atom

Structure (CIF):
```
data_Sr2LaHfB
_chemical_formula_sum 'Sr2 La1 Hf1 B1'
_space_group_name_H-M_alt 'P 4/m m m'
_space_group_IT_number 123
_space_group_name_Hall '-P 4 2'
_cell_length_a 6.012
_cell_length_b 6.012
_cell_length_c 5.190
_cell_angle_alpha 90.00
_cell_angle_beta 90.00
_cell_angle_gamma 90.00
loop_
_atom_site_label
_atom_site_type_symbol
_atom_site_fract_x
_atom_site_fract_y
_atom_site_fract_z
Sr1 Sr 0.000 0.500 0.000
La1 La 0.000 0.000 0.000
Hf1 Hf 0.000 0.000 0.500
B1 B 0.500 0.500 0.500
```



A plane-wave DFT calculation with GGA-PBEsol was carried out for La2HfTlB after structural relaxation.

Properties
* energy of formation: 0.46 eV per atom

Structure (CIF):
```
data_La2HfTlB
_chemical_formula_sum 'La2 Hf1 Tl1 B1'
_space_group_name_H-M_alt 'P 4/m m m'
_space_group_IT_number 123
_space_group_name_Hall '-P 4 2'
_cell_length_a 5.199
_cell_length_b 5.199
_cell_length_c 4.594
_cell_angle_alpha 90.00
_cell_angle_beta 90.00
_cell_angle_gamma 90.00
loop_
_atom_site_label
_atom_site_type_symbol
_atom_site_fract_x
_atom_site_fract_y
_atom_site_fract_z
La1 La 0.000 0.500 0.000
Hf1 Hf 0.000 0.000 0.500
Tl1 Tl 0.500 0.500 0.500
B1 B 0.500 0.500 0.000
```



Q: The lowest energy of formation belongs to which entry?
A: La2HfTlB



Q: Among the records above, which one has the highest energy of formation?
A: Sr2LaHfB



Please write out number 3 again, unchanged.
A plane-wave DFT calculation with GGA-PBEsol was carried out for La2HfTlB after structural relaxation.

Properties
* energy of formation: 0.46 eV per atom

Structure (CIF):
```
data_La2HfTlB
_chemical_formula_sum 'La2 Hf1 Tl1 B1'
_space_group_name_H-M_alt 'P 4/m m m'
_space_group_IT_number 123
_space_group_name_Hall '-P 4 2'
_cell_length_a 5.199
_cell_length_b 5.199
_cell_length_c 4.594
_cell_angle_alpha 90.00
_cell_angle_beta 90.00
_cell_angle_gamma 90.00
loop_
_atom_site_label
_atom_site_type_symbol
_atom_site_fract_x
_atom_site_fract_y
_atom_site_fract_z
La1 La 0.000 0.500 0.000
Hf1 Hf 0.000 0.000 0.500
Tl1 Tl 0.500 0.500 0.500
B1 B 0.500 0.500 0.000
```



Q: Which of these has the highest energy of formation?
A: Sr2LaHfB